# 1
The following is a PBE calculation of crystalline LaPaTl2O6 at its relaxed geometry, from the Alexandria database.

a b c (Å): 6.1763 6.1763 6.1156
angles (deg): 119.05 119.05 62.50
Fractional positions:
La1 0.0000 0.0000 0.0000
Pa1 0.5000 0.5000 0.5000
Tl1 0.2483 0.2483 0.7158
Tl2 0.7517 0.7517 0.2842
O1 0.1787 0.6629 0.6552
O2 0.2696 0.2696 0.1310
O3 0.3371 0.8213 0.3448
O4 0.6629 0.1787 0.6552
O5 0.7304 0.7304 0.8690
O6 0.8213 0.3371 0.3448

## Properties
For the energy, the calculation gives -71.5 eV per cell. As for the space group: C2/m. The formation energy from raw total energies comes out at -2256 meV/atom. Its total moment is 0.0 μB/cell.



# 2
The following is a PBE calculation of crystalline LaTmPaO6 at its relaxed geometry, from the Alexandria database.

a b c (Å): 5.8965 5.8965 4.6964
angles (deg): 90.00 90.00 120.00
Fractional positions:
La1 0.0000 0.0000 0.0000
Tm1 0.3333 0.6667 0.0000
Pa1 0.6667 0.3333 0.5000
O1 0.3635 0.0097 0.2460
O2 0.3635 0.3538 0.7540
O3 0.6462 0.0097 0.7540
O4 0.6462 0.6365 0.2460
O5 0.9903 0.3538 0.2460
O6 0.9903 0.6365 0.7540

## Properties
For the energy, the calculation gives -77.4 eV per cell. As for the space group: P312. The formation energy from raw total energies comes out at -3199 meV/atom. Its total moment is 0.7 μB/cell.



# 3
The following is a PBE calculation of crystalline La2PbO2 at its relaxed geometry, from the Alexandria database.

a b c (Å): 8.0057 8.0057 8.0057
angles (deg): 150.67 150.67 41.95
Fractional positions:
La1 0.1680 0.1680 0.0000
La2 0.8320 0.8320 0.0000
Pb1 0.5000 0.5000 0.0000
O1 0.2500 0.7500 0.5000
O2 0.7500 0.2500 0.5000

## Properties
For the energy, the calculation gives -36.2 eV per cell. As for the space group: I4/mmm. The formation energy from raw total energies comes out at -2547 meV/atom. Its total moment is 0.0 μB/cell.



# 4
The following is a PBE calculation of crystalline LaPbO3 at its relaxed geometry, from the Alexandria database.

a b c (Å): 4.4906 4.4906 4.4906
angles (deg): 90.00 90.00 90.00
Fractional positions:
La1 0.0000 0.0000 0.0000
Pb1 0.5000 0.5000 0.5000
O1 0.0000 0.0000 0.5000
O2 0.0000 0.5000 0.0000
O3 0.5000 0.0000 0.0000

## Properties
For the energy, the calculation gives -31.7 eV per cell. As for the space group: Pm-3m. The formation energy from raw total energies comes out at -1643 meV/atom. Its total moment is 1.0 μB/cell.



# 5
The following is a PBE calculation of crystalline LaPbO2 at its relaxed geometry, from the Alexandria database.

a b c (Å): 4.5482 4.5482 4.5482
angles (deg): 60.00 60.00 60.00
Fractional positions:
La1 0.0000 0.0000 0.0000
Pb1 0.5000 0.5000 0.5000
O1 0.2500 0.2500 0.2500
O2 0.7500 0.7500 0.7500

## Properties
For the energy, the calculation gives -24.6 eV per cell. As for the space group: Fm-3m. As for the polymorph energy (0 for the lowest one): 793 meV/atom. The formation energy from raw total energies comes out at -1504 meV/atom. Its total moment is 0.0 μB/cell.



# 6
The following is a PBE calculation of crystalline La5Pb3O at its relaxed geometry, from the Alexandria database.

a b c (Å): 9.6189 9.6189 9.6189
angles (deg): 125.40 125.40 80.88
Fractional positions:
La1 0.0000 0.0000 0.0000
La2 0.9998 0.4998 0.1974
La3 0.0002 0.5002 0.8026
La4 0.1976 0.0002 0.5000
La5 0.3024 0.8024 0.8026
La6 0.4998 0.3024 0.5000
La7 0.5000 0.5000 0.0000
La8 0.5002 0.6976 0.5000
La9 0.6976 0.1976 0.1974
La10 0.8024 0.9998 0.5000
Pb1 0.1452 0.3548 0.5000
Pb2 0.2500 0.2500 0.0000
Pb3 0.3548 0.8548 0.2096
Pb4 0.6452 0.1452 0.7904
Pb5 0.7500 0.7500 0.0000
Pb6 0.8548 0.6452 0.5000
O1 0.2500 0.7500 0.5000
O2 0.7500 0.2500 0.5000

## Properties
For the energy, the calculation gives -102.4 eV per cell. As for the space group: I4/mcm. The formation energy from raw total energies comes out at -1162 meV/atom. Its total moment is 1.2 μB/cell.



# 7
The following is a PBE calculation of crystalline La4Pb2O at its relaxed geometry, from the Alexandria database.

a b c (Å): 9.6538 9.6538 9.6538
angles (deg): 150.73 150.73 41.86
Fractional positions:
La1 0.0000 0.5000 0.5000
La2 0.1763 0.1763 0.0000
La3 0.5000 0.0000 0.5000
La4 0.8237 0.8237 0.0000
Pb1 0.3612 0.3612 0.0000
Pb2 0.6388 0.6388 0.0000
O1 0.0000 0.0000 0.0000

## Properties
For the energy, the calculation gives -40.6 eV per cell. As for the space group: I4/mmm. The formation energy from raw total energies comes out at -1218 meV/atom. Its total moment is 1.3 μB/cell.



# 8
The following is a PBE calculation of crystalline La2Pb2O7 at its relaxed geometry, from the Alexandria database.

a b c (Å): 7.8527 7.8527 7.8527
angles (deg): 60.00 60.00 60.00
Fractional positions:
La1 0.0000 0.0000 0.0000
La2 0.0000 0.0000 0.5000
La3 0.0000 0.5000 0.0000
La4 0.5000 0.0000 0.0000
Pb1 0.0000 0.5000 0.5000
Pb2 0.5000 0.0000 0.5000
Pb3 0.5000 0.5000 0.0000
Pb4 0.5000 0.5000 0.5000
O1 0.1250 0.1250 0.1250
O2 0.1590 0.1590 0.5910
O3 0.1590 0.5910 0.1590
O4 0.1590 0.5910 0.5910
O5 0.4090 0.4090 0.8410
O6 0.4090 0.8410 0.4090
O7 0.4090 0.8410 0.8410
O8 0.5910 0.1590 0.1590
O9 0.5910 0.1590 0.5910
O10 0.5910 0.5910 0.1590
O11 0.8410 0.4090 0.4090
O12 0.8410 0.4090 0.8410
O13 0.8410 0.8410 0.4090
O14 0.8750 0.8750 0.8750

## Properties
For the energy, the calculation gives -150.9 eV per cell. As for the space group: Fd-3m. The formation energy from raw total energies comes out at -2134 meV/atom. Its total moment is 0.0 μB/cell.



# 9
The following is a PBE calculation of crystalline LaPbO4 at its relaxed geometry, from the Alexandria database.

a b c (Å): 6.6294 6.6294 6.6294
angles (deg): 128.14 128.14 76.40
Fractional positions:
La1 0.3750 0.6250 0.7500
La2 0.6250 0.3750 0.2500
Pb1 0.1250 0.8750 0.2500
Pb2 0.8750 0.1250 0.7500
O1 0.0000 0.2311 0.2311
O2 0.0000 0.7689 0.7689
O3 0.2311 0.0000 0.7311
O4 0.2311 0.5000 0.2311
O5 0.5000 0.2311 0.7311
O6 0.5000 0.7689 0.2689
O7 0.7689 0.0000 0.2689
O8 0.7689 0.5000 0.7689

## Properties
For the energy, the calculation gives -76.8 eV per cell. As for the space group: I4_1/amd. The formation energy from raw total energies comes out at -1658 meV/atom. Its total moment is 2.1 μB/cell.



# 10
The following is a PBE calculation of crystalline LaPb2O at its relaxed geometry, from the Alexandria database.

a b c (Å): 7.7046 7.7046 7.7046
angles (deg): 94.86 94.86 146.16
Fractional positions:
La1 0.0000 0.0000 0.0000
La2 0.7500 0.2500 0.5000
Pb1 0.2253 0.6250 0.1003
Pb2 0.3750 0.4753 0.6003
Pb3 0.5247 0.1250 0.8997
Pb4 0.8750 0.7747 0.3997
O1 0.2500 0.7500 0.5000
O2 0.5000 0.5000 0.0000

## Properties
For the energy, the calculation gives -42.3 eV per cell. As for the space group: I-42d. As for the polymorph energy (0 for the lowest one): 0 meV/atom. The formation energy from raw total energies comes out at -965 meV/atom. Its total moment is 0.0 μB/cell.



# 11
The following is a PBE calculation of crystalline La4Pb6O19 at its relaxed geometry, from the Alexandria database.

a b c (Å): 8.5159 8.5159 8.5159
angles (deg): 109.47 109.47 109.47
Fractional positions:
La1 0.0000 0.0000 0.7086
La2 0.0000 0.7086 0.0000
La3 0.2914 0.2914 0.2914
La4 0.7086 0.0000 0.0000
Pb1 0.1678 0.6678 0.5000
Pb2 0.3322 0.5000 0.8322
Pb3 0.5000 0.1678 0.6678
Pb4 0.5000 0.8322 0.3322
Pb5 0.6678 0.5000 0.1678
Pb6 0.8322 0.3322 0.5000
O1 0.0000 0.0000 0.0000
O2 0.0000 0.3450 0.3450
O3 0.0000 0.6550 0.6550
O4 0.0334 0.2740 0.6760
O5 0.2406 0.9666 0.6427
O6 0.2740 0.6760 0.0334
O7 0.3240 0.5979 0.3573
O8 0.3450 0.0000 0.3450
O9 0.3450 0.3450 0.0000
O10 0.3573 0.3240 0.5979
O11 0.4021 0.7260 0.7594
O12 0.5979 0.3573 0.3240
O13 0.6427 0.2406 0.9666
O14 0.6550 0.0000 0.6550
O15 0.6550 0.6550 0.0000
O16 0.6760 0.0334 0.2740
O17 0.7260 0.7594 0.4021
O18 0.7594 0.4021 0.7260
O19 0.9666 0.6427 0.2406

## Properties
For the energy, the calculation gives -182.5 eV per cell. As for the space group: I23. The formation energy from raw total energies comes out at -1599 meV/atom. Its total moment is 2.3 μB/cell.



# 12
The following is a PBE calculation of crystalline La2PbO5 at its relaxed geometry, from the Alexandria database.

a b c (Å): 6.4548 6.4548 11.5245
angles (deg): 90.00 90.00 140.62
Fractional positions:
La1 0.1399 0.8601 0.5704
La2 0.1399 0.8601 0.9296
La3 0.8601 0.1399 0.0704
La4 0.8601 0.1399 0.4296
Pb1 0.1693 0.8307 0.2500
Pb2 0.8307 0.1693 0.7500
O1 0.0461 0.9539 0.1154
O2 0.0461 0.9539 0.3846
O3 0.2683 0.7317 0.7500
O4 0.2840 0.7160 0.0904
O5 0.2840 0.7160 0.4096
O6 0.7160 0.2840 0.5904
O7 0.7160 0.2840 0.9096
O8 0.7317 0.2683 0.2500
O9 0.9539 0.0461 0.6154
O10 0.9539 0.0461 0.8846

## Properties
For the energy, the calculation gives -116.2 eV per cell. As for the space group: Cmcm. The formation energy from raw total energies comes out at -2466 meV/atom. Its total moment is 0.0 μB/cell.



# 13
The following is a PBE calculation of crystalline LaPbO3 at its relaxed geometry, from the Alexandria database.

a b c (Å): 4.3252 4.3252 4.3252
angles (deg): 90.00 90.00 90.00
Fractional positions:
La1 0.0000 0.0000 0.0000
Pb1 0.5000 0.5000 0.5000
O1 0.0000 0.5000 0.5000
O2 0.5000 0.0000 0.5000
O3 0.5000 0.5000 0.0000

## Properties
For the energy, the calculation gives -31.5 eV per cell. As for the space group: Pm-3m. The formation energy from raw total energies comes out at -1598 meV/atom. Its total moment is 0.0 μB/cell.



# 14
The following is a PBE calculation of crystalline LaPbO4 at its relaxed geometry, from the Alexandria database.

a b c (Å): 3.9211 3.9211 5.7073
angles (deg): 90.00 90.00 90.00
Fractional positions:
La1 0.0000 0.0000 0.0000
Pb1 0.5000 0.5000 0.5000
O1 0.0000 0.5000 0.2673
O2 0.0000 0.5000 0.7327
O3 0.5000 0.0000 0.2673
O4 0.5000 0.0000 0.7327

## Properties
For the energy, the calculation gives -38.3 eV per cell. As for the space group: P4/mmm. The formation energy from raw total energies comes out at -1634 meV/atom. Its total moment is 1.0 μB/cell.



# 15
The following is a PBE calculation of crystalline La4Pb2O at its relaxed geometry, from the Alexandria database.

a b c (Å): 6.7477 7.0258 9.8144
angles (deg): 90.00 109.47 90.00
Fractional positions:
La1 0.1951 0.2500 0.0400
La2 0.2405 0.5115 0.7064
La3 0.2405 0.9885 0.7064
La4 0.2742 0.7500 0.3412
La5 0.7258 0.2500 0.6588
La6 0.7595 0.0115 0.2936
La7 0.7595 0.4885 0.2936
La8 0.8049 0.7500 0.9600
Pb1 0.2481 0.2500 0.3979
Pb2 0.3356 0.7500 0.0294
Pb3 0.6644 0.2500 0.9706
Pb4 0.7519 0.7500 0.6021
O1 0.0905 0.2500 0.7812
O2 0.9095 0.7500 0.2188

## Properties
For the energy, the calculation gives -81.2 eV per cell. As for the space group: P2_1/m. The formation energy from raw total energies comes out at -1218 meV/atom. Its total moment is 0.9 μB/cell.



# 16
The following is a PBE calculation of crystalline LaPbO3 at its relaxed geometry, from the Alexandria database.

a b c (Å): 7.3849 7.3849 6.1786
angles (deg): 90.00 90.00 148.89
Fractional positions:
La1 0.1866 0.8134 0.7500
La2 0.8134 0.1866 0.2500
Pb1 0.4405 0.5595 0.7500
Pb2 0.5595 0.4405 0.2500
O1 0.0111 0.9889 0.7500
O2 0.3277 0.6723 0.9998
O3 0.3277 0.6723 0.5002
O4 0.6723 0.3277 0.0002
O5 0.6723 0.3277 0.4998
O6 0.9889 0.0111 0.2500

## Properties
For the energy, the calculation gives -68.7 eV per cell. As for the space group: Cmcm. The formation energy from raw total energies comes out at -2168 meV/atom. Its total moment is 0.0 μB/cell.



# 17
The following is a PBE calculation of crystalline La5Pb4O at its relaxed geometry, from the Alexandria database.

a b c (Å): 7.7454 7.7454 7.7454
angles (deg): 100.46 100.46 129.55
Fractional positions:
La1 0.0000 0.0000 0.0000
La2 0.3155 0.6674 0.8477
La3 0.4678 0.3155 0.6481
La4 0.6674 0.8197 0.3519
La5 0.8197 0.4678 0.1523
Pb1 0.0007 0.7564 0.6087
Pb2 0.1477 0.3920 0.3913
Pb3 0.3920 0.0007 0.2443
Pb4 0.7564 0.1477 0.7557
O1 0.6458 0.6458 0.0000

## Properties
For the energy, the calculation gives -53.2 eV per cell. As for the space group: I4. The formation energy from raw total energies comes out at -878 meV/atom. Its total moment is 0.0 μB/cell.



# 18
The following is a PBE calculation of crystalline LaPb2O at its relaxed geometry, from the Alexandria database.

a b c (Å): 5.2734 5.2734 5.2734
angles (deg): 60.00 60.00 60.00
Fractional positions:
La1 0.0000 0.0000 0.0000
Pb1 0.2500 0.2500 0.2500
Pb2 0.7500 0.7500 0.7500
O1 0.5000 0.5000 0.5000

## Properties
For the energy, the calculation gives -17.2 eV per cell. As for the space group: Fm-3m. As for the polymorph energy (0 for the lowest one): 997 meV/atom. The formation energy from raw total energies comes out at 32 meV/atom. Its total moment is 0.0 μB/cell.



# 19
The following is a PBE calculation of crystalline La7Pb3O2 at its relaxed geometry, from the Alexandria database.

a b c (Å): 13.2536 13.2536 4.9489
angles (deg): 90.00 90.00 157.65
Fractional positions:
La1 0.0000 0.0000 0.0000
La2 0.0950 0.9050 0.5000
La3 0.2023 0.7977 0.0000
La4 0.3991 0.6009 0.0000
La5 0.6009 0.3991 0.0000
La6 0.7977 0.2023 0.0000
La7 0.9050 0.0950 0.5000
Pb1 0.3073 0.6927 0.5000
Pb2 0.5000 0.5000 0.5000
Pb3 0.6927 0.3073 0.5000
O1 0.1012 0.8988 0.0000
O2 0.8988 0.1012 0.0000

## Properties
For the energy, the calculation gives -71.2 eV per cell. As for the space group: Cmmm. The formation energy from raw total energies comes out at -1304 meV/atom. Its total moment is 0.0 μB/cell.